No. 1
LiCaGa2Ag4: optimized geometry, PBE-GGA.

```
LiCaGa2Ag4
1.0
2.3030 1.3296 8.1263
-2.3030 1.3296 8.1263
0.0000 -2.6593 8.1263
Li Ca Ga Ag
1 1 2 4
Cartesian
0.0000 0.0000 0.0000
0.0000 0.0000 12.1895
0.0000 0.0000 6.1635
0.0000 0.0000 18.2155
0.0000 0.0000 2.5321
0.0000 0.0000 8.9981
0.0000 0.0000 15.3810
0.0000 0.0000 21.8469
```



No. 2
LiCa2GaAg6: optimized geometry, PBE-GGA.

```
LiCa2GaAg6
1.0
5.6192 0.0000 0.0000
-2.7402 6.1968 0.0000
-2.7458 -1.3938 6.1191
Li Ca Ga Ag
1 2 1 6
Cartesian
0.0000 0.0000 0.0000
-2.7169 3.6450 4.4804
2.8501 1.1580 1.6387
0.0666 2.4015 3.0595
-1.3243 3.9756 1.1354
0.0400 -0.1802 2.6057
-1.3498 0.7984 4.9987
1.4831 4.0046 1.1203
0.0932 4.9832 3.5133
1.4575 0.8274 4.9837
```



no.,E_tot (eV/atom)
1,-2.906
2,-2.781